{
  "formula": "AcNd2Au",
  "functional": "PBE-GGA",
  "state": "relaxed",
  "energy_ry_per_atom": -0.3137,
  "formation_enthalpy_0k_mev_per_atom": -38,
  "m_tot_mub_per_fu": 0.00,
  "polymorph_energy_ev_per_fu": 1.40,
  "volume_a3_per_atom": 30.6,
  "lattice_angstrom": [[5.572, 0.000, 0.000], [2.786, 4.826, 0.000], [2.786, 1.609, 4.550]],
  "species": ["Nd", "Nd", "Ac", "Au"],
  "frac_coords": [[0.250, 0.250, 0.250], [0.750, 0.750, 0.750], [0.500, 0.500, 0.500], [0.000, 0.000, 0.000]]
}

{
  "formula": "LiDy2ScTl4",
  "functional": "PBE-GGA",
  "state": "relaxed",
  "energy_ry_per_atom": -0.2695,
  "formation_enthalpy_0k_mev_per_atom": -302,
  "m_tot_mub_per_fu": 0.00,
  "volume_a3_per_atom": 25.0,
  "lattice_angstrom": [[-2.520, -2.188, -3.958], [-3.438, -3.768, 0.886], [-8.250, 3.904, -0.291]],
  "species": ["Li", "Dy", "Dy", "Sc", "Tl", "Tl", "Tl", "Tl"],
  "frac_coords": [[0.500, 0.500, 0.500], [0.753, 0.753, 0.740], [0.247, 0.247, 0.260], [0.000, 0.000, 0.000], [0.375, 0.375, 0.875], [0.625, 0.625, 0.125], [0.874, 0.874, 0.377], [0.126, 0.126, 0.623]]
}

{
  "formula": "HfGaCu3",
  "functional": "PBE-GGA",
  "state": "relaxed",
  "energy_ry_per_atom": -0.2828,
  "formation_enthalpy_0k_mev_per_atom": 1206,
  "m_tot_mub_per_fu": 0.00,
  "polymorph_energy_ev_per_fu": 3.76,
  "volume_a3_per_atom": 24.3,
  "lattice_angstrom": [[4.953, 0.000, 0.000], [0.000, 4.953, 0.000], [0.000, 0.000, 4.953]],
  "species": ["Ga", "Cu", "Cu", "Cu", "Hf"],
  "frac_coords": [[0.500, 0.500, 0.500], [0.500, 0.000, 0.000], [0.000, 0.500, 0.000], [0.000, 0.000, 0.500], [0.000, 0.000, 0.000]]
}

{
  "formula": "NpGaTcO6",
  "functional": "PBE-GGA",
  "state": "relaxed",
  "energy_ry_per_atom": -0.5991,
  "m_tot_mub_per_fu": 4.64,
  "volume_a3_per_atom": 11.8,
  "lattice_angstrom": [[-3.167, -0.859, 4.100], [-0.050, -3.292, -4.091], [6.356, -4.918, 3.880]],
  "species": ["O", "O", "O", "O", "O", "O", "O", "O", "O", "O", "O", "O", "Np", "Np", "Tc", "Tc", "Ga", "Ga"],
  "frac_coords": [[0.982, 0.316, 0.626], [0.334, 0.018, 0.626], [0.684, 0.018, 0.874], [0.334, 0.316, 0.874], [0.982, 0.666, 0.874], [0.018, 0.334, 0.126], [0.666, 0.982, 0.374], [0.666, 0.684, 0.126], [0.316, 0.334, 0.374], [0.684, 0.666, 0.626], [0.316, 0.982, 0.126], [0.018, 0.684, 0.374], [0.667, 0.333, 0.250], [0.333, 0.667, 0.750], [0.000, 0.000, 0.500], [0.000, 0.000, 0.000], [0.333, 0.667, 0.250], [0.667, 0.333, 0.750]]
}

{
  "formula": "Ba2TbIn3Hg12",
  "functional": "PBE-GGA",
  "state": "relaxed",
  "energy_ry_per_atom": -0.0954,
  "formation_enthalpy_0k_mev_per_atom": -169,
  "m_tot_mub_per_fu": 0.00,
  "volume_a3_per_atom": 30.7,
  "lattice_angstrom": [[-5.256, -5.138, 11.551], [-6.995, -9.747, 6.597], [-0.611, -9.906, 9.431]],
  "species": ["Hg", "Hg", "Hg", "Hg", "Hg", "Hg", "Hg", "Hg", "Hg", "Hg", "Hg", "Hg", "In", "In", "In", "Tb", "Ba", "Ba"],
  "frac_coords": [[0.403, 0.881, 0.881], [0.597, 0.119, 0.119], [0.881, 0.881, 0.403], [0.119, 0.597, 0.119], [0.148, 0.594, 0.594], [0.406, 0.406, 0.852], [0.881, 0.403, 0.881], [0.119, 0.119, 0.597], [0.406, 0.852, 0.406], [0.594, 0.148, 0.594], [0.594, 0.594, 0.148], [0.852, 0.406, 0.406], [0.000, 0.000, 0.500], [0.500, 0.000, 0.000], [0.000, 0.500, 0.000], [0.000, 0.000, 0.000], [0.639, 0.639, 0.639], [0.361, 0.361, 0.361]]
}

{
  "formula": "Y6Te3As2Se",
  "functional": "PBE-GGA",
  "state": "relaxed",
  "energy_ry_per_atom": -0.4865,
  "m_tot_mub_per_fu": 0.00,
  "volume_a3_per_atom": 27.0,
  "lattice_angstrom": [[-2.266, -2.795, -2.168], [5.090, -6.298, 2.800], [-5.671, 1.994, 7.425]],
  "species": ["Y", "Y", "Y", "Y", "Y", "Y", "Te", "Te", "Te", "As", "As", "Se"],
  "frac_coords": [[0.009, 0.236, 0.019], [0.338, 0.895, 0.675], [0.991, 0.764, 0.981], [0.675, 0.565, 0.349], [0.662, 0.105, 0.325], [0.325, 0.435, 0.651], [0.835, 0.167, 0.670], [0.165, 0.833, 0.330], [0.500, 0.500, 0.000], [0.833, 0.667, 0.666], [0.167, 0.333, 0.334], [0.500, 0.000, 0.000]]
}

{
  "formula": "CaInGe2O6",
  "functional": "PBE-GGA",
  "state": "relaxed",
  "energy_ry_per_atom": -0.4559,
  "m_tot_mub_per_fu": 0.33,
  "volume_a3_per_atom": 14.4,
  "lattice_angstrom": [[-3.814, -3.963, 1.729], [4.158, -5.864, 0.579], [0.621, 0.417, 7.173]],
  "species": ["Ge", "Ge", "Ge", "Ge", "Ca", "Ca", "O", "O", "O", "O", "O", "O", "O", "O", "O", "O", "O", "O", "In", "In"],
  "frac_coords": [[0.751, 0.624, 0.798], [0.251, 0.798, 0.624], [0.749, 0.202, 0.376], [0.249, 0.376, 0.202], [0.750, 0.101, 0.899], [0.250, 0.899, 0.101], [0.132, 0.610, 0.134], [0.368, 0.866, 0.390], [0.486, 0.614, 0.699], [0.868, 0.390, 0.866], [0.160, 0.981, 0.787], [0.514, 0.386, 0.301], [0.840, 0.019, 0.213], [0.340, 0.213, 0.019], [0.632, 0.134, 0.610], [0.660, 0.787, 0.981], [0.014, 0.301, 0.386], [0.986, 0.699, 0.614], [0.750, 0.717, 0.283], [0.250, 0.283, 0.717]]
}

{
  "formula": "MnZn2Ge2",
  "functional": "PBE-GGA",
  "state": "relaxed",
  "energy_ry_per_atom": -0.2730,
  "formation_enthalpy_0k_mev_per_atom": 476,
  "m_tot_mub_per_fu": 0.00,
  "polymorph_energy_ev_per_fu": 0.85,
  "volume_a3_per_atom": 16.8,
  "lattice_angstrom": [[3.257, 0.000, 0.000], [0.000, 3.257, 0.000], [1.628, 1.628, 7.908]],
  "species": ["Zn", "Zn", "Ge", "Ge", "Mn"],
  "frac_coords": [[0.250, 0.750, 0.500], [0.750, 0.250, 0.500], [0.583, 0.583, 0.833], [0.417, 0.417, 0.167], [0.000, 0.000, 0.000]]
}

{
  "formula": "LiFe2P",
  "functional": "PBE-GGA",
  "state": "relaxed",
  "energy_ry_per_atom": -0.4368,
  "formation_enthalpy_0k_mev_per_atom": 119,
  "m_tot_mub_per_fu": 3.92,
  "volume_a3_per_atom": 12.9,
  "lattice_angstrom": [[-2.918, -5.774, -0.692], [2.651, -2.010, 5.592], [-2.070, -3.059, 3.667]],
  "species": ["Fe", "Fe", "Fe", "Fe", "P", "P", "Li", "Li"],
  "frac_coords": [[0.077, 0.625, 0.250], [0.673, 0.125, 0.250], [0.375, 0.327, 0.750], [0.875, 0.923, 0.750], [0.000, 0.000, 0.000], [0.750, 0.250, 0.500], [0.500, 0.500, 0.000], [0.250, 0.750, 0.500]]
}

{
  "formula": "LiInCu2",
  "functional": "PBE-GGA",
  "state": "relaxed",
  "energy_ry_per_atom": -0.2231,
  "formation_enthalpy_0k_mev_per_atom": 176,
  "m_tot_mub_per_fu": 0.00,
  "volume_a3_per_atom": 16.3,
  "lattice_angstrom": [[3.768, 0.000, 0.000], [0.000, 3.768, 0.000], [1.884, 1.884, 9.207]],
  "species": ["Cu", "Cu", "Cu", "Cu", "In", "In", "Li", "Li"],
  "frac_coords": [[0.132, 0.625, 0.250], [0.618, 0.125, 0.250], [0.875, 0.868, 0.750], [0.375, 0.382, 0.750], [0.750, 0.250, 0.500], [0.000, 0.000, 0.000], [0.250, 0.750, 0.500], [0.500, 0.500, 0.000]]
}

{
  "formula": "SrMnSb3",
  "functional": "PBE-GGA",
  "state": "relaxed",
  "energy_ry_per_atom": -0.2142,
  "m_tot_mub_per_fu": 0.70,
  "polymorph_energy_ev_per_fu": 8.61,
  "volume_a3_per_atom": 41.2,
  "lattice_angstrom": [[5.906, 0.000, 0.000], [0.000, 5.906, 0.000], [0.000, 0.000, 5.906]],
  "species": ["Sb", "Sb", "Sb", "Mn", "Sr"],
  "frac_coords": [[0.500, 0.000, 0.000], [0.000, 0.500, 0.000], [0.000, 0.000, 0.500], [0.500, 0.500, 0.500], [0.000, 0.000, 0.000]]
}

{
  "formula": "NbCr",
  "functional": "PBE-GGA",
  "state": "relaxed",
  "energy_ry_per_atom": -0.6905,
  "formation_enthalpy_0k_mev_per_atom": 451,
  "m_tot_mub_per_fu": 0.00,
  "volume_a3_per_atom": 16.2,
  "lattice_angstrom": [[-0.771, -6.903, 1.813], [5.145, 1.946, -4.612], [2.755, 0.562, 3.310]],
  "species": ["Cr", "Cr", "Cr", "Cr", "Cr", "Cr", "Nb", "Nb", "Nb", "Nb", "Nb", "Nb"],
  "frac_coords": [[0.876, 0.457, 0.750], [0.420, 0.876, 0.250], [0.457, 0.580, 0.250], [0.124, 0.543, 0.250], [0.543, 0.420, 0.750], [0.580, 0.124, 0.750], [0.335, 0.176, 0.250], [0.824, 0.159, 0.250], [0.159, 0.335, 0.750], [0.841, 0.665, 0.250], [0.176, 0.841, 0.750], [0.665, 0.824, 0.750]]
}

{
  "formula": "Te2Os",
  "functional": "PBE-GGA",
  "state": "relaxed",
  "energy_ry_per_atom": -0.3936,
  "m_tot_mub_per_fu": 0.00,
  "volume_a3_per_atom": 25.4,
  "lattice_angstrom": [[7.882, 7.416, 10.082], [3.687, 8.467, 11.554], [-5.774, -9.785, -9.470]],
  "species": ["Te", "Te", "Te", "Te", "Os", "Os"],
  "frac_coords": [[0.308, 0.808, 0.500], [0.192, 0.692, 0.500], [0.442, 0.442, 0.000], [0.558, 0.558, 0.000], [0.750, 0.250, 0.500], [0.000, 0.000, 0.000]]
}

{
  "formula": "RbAuIBr6",
  "functional": "PBE-GGA",
  "state": "relaxed",
  "energy_ry_per_atom": -0.1612,
  "m_tot_mub_per_fu": 0.00,
  "volume_a3_per_atom": 43.8,
  "lattice_angstrom": [[-9.143, -1.438, -2.292], [-9.490, -9.965, -0.497], [-0.666, 2.347, 4.381]],
  "species": ["Br", "Br", "Br", "Br", "Br", "Br", "I", "Au", "Rb"],
  "frac_coords": [[0.355, 0.990, 0.843], [0.130, 0.282, 0.214], [0.303, 0.733, 0.376], [0.697, 0.012, 0.403], [0.578, 0.345, 0.652], [0.003, 0.611, 0.564], [0.641, 0.675, 0.474], [0.355, 0.309, 0.464], [0.938, 0.043, 0.009]]
}

{
  "formula": "NiHgBr2",
  "functional": "PBE-GGA",
  "state": "relaxed",
  "energy_ry_per_atom": -0.1805,
  "m_tot_mub_per_fu": 0.42,
  "polymorph_energy_ev_per_fu": 0.56,
  "volume_a3_per_atom": 26.9,
  "lattice_angstrom": [[-2.130, 1.498, -2.358], [-2.850, 0.601, 2.955], [1.473, 6.892, 3.047]],
  "species": ["Br", "Br", "Hg", "Ni"],
  "frac_coords": [[0.000, 0.856, 0.903], [0.500, 0.145, 0.346], [0.000, 0.519, 0.589], [0.500, 0.980, 0.663]]
}

{
  "formula": "Li2ReBr",
  "functional": "PBE-GGA",
  "state": "relaxed",
  "energy_ry_per_atom": -0.3005,
  "m_tot_mub_per_fu": 0.00,
  "polymorph_energy_ev_per_fu": 1.18,
  "volume_a3_per_atom": 16.6,
  "lattice_angstrom": [[4.586, 0.000, 0.000], [0.000, 2.841, -0.129], [0.000, 0.281, 5.073]],
  "species": ["Br", "Li", "Li", "Re"],
  "frac_coords": [[0.500, 0.621, 0.716], [0.000, 0.123, 0.998], [0.500, 0.131, 0.287], [0.000, 0.625, 0.500]]
}

{
  "formula": "GaAg3S3",
  "functional": "PBE-GGA",
  "state": "relaxed",
  "energy_ry_per_atom": -0.2709,
  "m_tot_mub_per_fu": 0.00,
  "polymorph_energy_ev_per_fu": 0.00,
  "volume_a3_per_atom": 21.1,
  "lattice_angstrom": [[-6.548, 1.098, -0.238], [-1.067, -6.432, -0.300], [-0.523, -0.167, 13.626]],
  "species": ["Ga", "Ga", "Ga", "Ga", "S", "S", "S", "S", "S", "S", "S", "S", "S", "S", "S", "S", "Ag", "Ag", "Ag", "Ag", "Ag", "Ag", "Ag", "Ag", "Ag", "Ag", "Ag", "Ag"],
  "frac_coords": [[0.404, 0.848, 0.921], [0.096, 0.848, 0.421], [0.596, 0.152, 0.079], [0.904, 0.152, 0.579], [0.931, 0.733, 0.281], [0.431, 0.267, 0.219], [0.913, 0.273, 0.086], [0.569, 0.733, 0.781], [0.055, 0.207, 0.428], [0.445, 0.207, 0.928], [0.069, 0.267, 0.719], [0.555, 0.793, 0.072], [0.413, 0.727, 0.414], [0.945, 0.793, 0.572], [0.087, 0.727, 0.914], [0.587, 0.273, 0.586], [0.812, 0.347, 0.298], [0.432, 0.317, 0.419], [0.605, 0.961, 0.306], [0.568, 0.683, 0.581], [0.068, 0.317, 0.919], [0.312, 0.653, 0.202], [0.895, 0.961, 0.806], [0.188, 0.653, 0.702], [0.105, 0.039, 0.194], [0.932, 0.683, 0.081], [0.395, 0.039, 0.694], [0.688, 0.347, 0.798]]
}

{
  "formula": "LiNi2Bi",
  "functional": "PBE-GGA",
  "state": "relaxed",
  "energy_ry_per_atom": -0.3184,
  "formation_enthalpy_0k_mev_per_atom": 7,
  "m_tot_mub_per_fu": 0.01,
  "volume_a3_per_atom": 14.8,
  "lattice_angstrom": [[3.802, 0.000, 0.000], [0.000, 3.948, 0.000], [0.000, 0.000, 3.948]],
  "species": ["Li", "Ni", "Ni", "Bi"],
  "frac_coords": [[0.500, 0.000, 0.000], [0.000, 0.500, 0.000], [0.000, 0.000, 0.500], [0.500, 0.500, 0.500]]
}

{
  "formula": "LaCeTh6",
  "functional": "PBE-GGA",
  "state": "relaxed",
  "energy_ry_per_atom": -0.5060,
  "formation_enthalpy_0k_mev_per_atom": 38,
  "m_tot_mub_per_fu": 0.00,
  "volume_a3_per_atom": 31.7,
  "lattice_angstrom": [[-0.453, -4.261, 2.607], [3.311, 1.704, 3.360], [-7.507, 4.065, 5.338]],
  "species": ["Th", "Th", "Th", "Th", "Th", "Th", "La", "Ce"],
  "frac_coords": [[0.000, 0.500, 0.745], [0.000, 0.500, 0.255], [0.500, 0.500, 0.000], [0.500, 0.000, 0.745], [0.500, 0.000, 0.255], [0.500, 0.500, 0.500], [0.000, 0.000, 0.000], [0.000, 0.000, 0.500]]
}